Li6PdPt2 | PBE | optimized geometry

```
Li6PdPt2
1.0
-0.3810 3.1284 -3.8694
-4.2014 -2.4292 -1.1655
-2.3182 3.1174 3.1335
Li Pd Pt
6 1 2
Cartesian
-4.0950 1.9047 1.3793 Li
-2.1790 3.7574 -1.8503 Li
-2.8056 1.9119 -3.2807 Li
-2.8237 3.7538 0.4796 Li
-4.7216 0.0593 -0.0511 Li
-4.0769 0.0629 -2.3811 Li
0.0000 0.0000 0.0000 Pd
-4.5978 2.5430 -1.2669 Pt
-2.3028 1.2737 -0.6345 Pt
```

Energy above the most stable polymorph in this dataset ... 0 meV/atom
Energy of formation ... -423 kJ/mol of formula units
VASP energy ... -3.68 eV per atom
DOS at the Fermi energy ... 2.65 states/eV/cell
Magnetization ... 0.0 μB per cell